No. 1
The following is a PBE calculation of a relaxed structure of KScBe2, from Alexandria via LeMat-Bulk.

Summary:
Final energy ... -3.32 eV per atom
Crystal system ... monoclinic

a = 6.7127 Å, b = 3.8700 Å, c = 7.9613 Å
α = 90.00°, β = 106.17°, γ = 90.00°
With the nearest neighbours (Å) after each atom.
Space group Cm (No. 8)
Symmetry-distinct sites (fractional):
K (0.0000, 0.0000, 0.0000)  6 Be 3.43
Sc (0.3286, 0.5000, 0.4820)  6 Be 2.62
Be (0.0540, 0.5000, 0.6600)  3 Be 2.24
Be (0.2209, 0.0000, 0.6603)  3 Be 2.24



No. 2
The following is a PBE calculation of a relaxed structure of LiCaUCl6, from Alexandria via LeMat-Bulk.

Summary:
Crystal system ... trigonal
Uncorrected formation energy ... -1.917 eV per atom

a = 6.7645 Å, b = 6.7645 Å, c = 12.3571 Å
α = 90.00°, β = 90.00°, γ = 120.00°
With the nearest neighbours (Å) after each atom.
Space group P-31c (No. 163)
Symmetry-distinct sites (fractional):
Li (0.3333, 0.6667, 0.2500)  6 Cl 2.63
Ca (0.0000, 0.0000, 0.0000)  6 Cl 2.79
U (0.3333, 0.6667, 0.7500)  6 Cl 2.76
Cl (0.0157, 0.3470, 0.1282)  1 Li 2.63, 1 U 2.76, 1 Ca 2.79



No. 3
The following is a PBE calculation of a relaxed structure of ZnCr2Ga2, from Alexandria via LeMat-Bulk.

Summary:
Final energy ... -5.16 eV per atom
Crystal system ... tetragonal

a = 7.0115 Å, b = 7.0115 Å, c = 3.0063 Å
α = 90.00°, β = 90.00°, γ = 90.00°
With the nearest neighbours (Å) after each atom.
Space group P4/mbm (No. 127)
Symmetry-distinct sites (fractional):
Zn (0.0000, 0.0000, 0.0000)  4 Ga 2.75, 8 Cr 3.00, 2 Zn 3.01
Cr (0.1716, 0.3284, 0.5000)  6 Ga 2.48-2.61
Ga (0.1290, 0.6290, 0.0000)  6 Cr 2.48-2.61, 1 Ga 2.56, 2 Zn 2.75



No. 4
The following is a PBE calculation of a relaxed structure of Y3SI, from Alexandria via LeMat-Bulk.

Summary:
Crystal system ... cubic
Uncorrected formation energy ... -0.577 eV per atom

a = 5.2779 Å, b = 5.2779 Å, c = 5.2779 Å
α = 90.00°, β = 90.00°, γ = 90.00°
With the nearest neighbours (Å) after each atom.
Space group Pm-3m (No. 221)
Symmetry-distinct sites (fractional):
Y (0.0000, 0.0000, 0.5000)  2 S 2.64
S (0.0000, 0.0000, 0.0000)  6 Y 2.64
I (0.5000, 0.5000, 0.5000)  12 Y 3.73



No. 5
The following is a PBE calculation of a relaxed structure of TaCdSnO6, from Alexandria via LeMat-Bulk.

Summary:
Crystal system ... trigonal
Uncorrected formation energy ... -1.721 eV per atom

a = 5.4554 Å, b = 5.4554 Å, c = 9.4433 Å
α = 90.00°, β = 90.00°, γ = 120.00°
With the nearest neighbours (Å) after each atom.
Space group P-31c (No. 163)
Symmetry-distinct sites (fractional):
Ta (0.3333, 0.6667, 0.2500)  6 O 2.01
Cd (0.0000, 0.0000, 0.0000)  6 O 2.36
Sn (0.3333, 0.6667, 0.7500)  6 O 2.09
O (0.0117, 0.3680, 0.1358)  1 Ta 2.01, 1 Sn 2.09



No. 6
The following is a PBE calculation of a relaxed structure of Hg3I, from Alexandria via LeMat-Bulk.

Summary:
Crystal system ... triclinic
Uncorrected formation energy ... -0.101 eV per atom

a = 5.4230 Å, b = 6.7998 Å, c = 8.7222 Å
α = 69.28°, β = 77.26°, γ = 78.19°
With the nearest neighbours (Å) after each atom.
Space group P-1 (No. 2)
Symmetry-distinct sites (fractional):
Hg (0.0000, 0.0000, 0.0000)  2 Hg 2.74
Hg (0.0000, 0.0000, 0.5000)  6 Hg 3.17-3.31
Hg (0.2029, 0.2533, 0.1094)  1 Hg 2.74, 1 I 2.86
Hg (0.3980, 0.1090, 0.6654)  4 Hg 3.17-3.31, 1 I 3.42
I (0.3499, 0.5322, 0.2435)  1 Hg 2.86



No. 7
The following is a PBE calculation of a relaxed structure of Na3TbSb3Se8, from Alexandria via LeMat-Bulk.

Summary:
Crystal system ... monoclinic
Uncorrected formation energy ... -0.792 eV per atom

a = 14.2296 Å, b = 8.2116 Å, c = 8.6058 Å
α = 90.00°, β = 123.50°, γ = 90.00°
With the nearest neighbours (Å) after each atom.
Space group C2/m (No. 12)
Symmetry-distinct sites (fractional):
Na (0.0000, 0.0000, 0.0000)  6 Se 3.05-3.09
Na (0.2500, 0.2500, 0.0000)  6 Se 3.06-3.09
Tb (0.0000, 0.0000, 0.5000)  6 Se 2.88
Sb (0.0000, 0.5000, 0.5000)  6 Se 2.86-2.89
Sb (0.2500, 0.2500, 0.5000)  6 Se 2.87-2.90
Se (0.0084, 0.2515, 0.2743)  2 Sb 2.86-2.87, 1 Tb 2.88, 2 Na 3.08-3.09
Se (0.2431, 0.0000, 0.7260)  2 Sb 2.87, 1 Tb 2.88, 2 Na 3.09
Se (0.2438, 0.5000, 0.7315)  3 Sb 2.89-2.90, 3 Na 3.05-3.06



No. 8
The following is a PBE calculation of a relaxed structure of Tb2TmAl, from Alexandria via LeMat-Bulk.

Summary:
Final energy ... -4.44 eV per atom
Crystal system ... cubic

a = 7.5416 Å, b = 7.5416 Å, c = 7.5416 Å
α = 90.00°, β = 90.00°, γ = 90.00°
With the nearest neighbours (Å) after each atom.
Space group Fm-3m (No. 225)
Symmetry-distinct sites (fractional):
Tb (0.2500, 0.2500, 0.2500)  4 Tm 3.27, 4 Al 3.27
Tm (0.0000, 0.0000, 0.0000)  8 Tb 3.27
Al (0.0000, 0.0000, 0.5000)  8 Tb 3.27



No. 9
The following is a PBE calculation of a relaxed structure of Cs5AuO, from Alexandria via LeMat-Bulk.

Summary:
Crystal system ... orthorhombic
Uncorrected formation energy ... -0.509 eV per atom

a = 6.2171 Å, b = 9.7662 Å, c = 13.5826 Å
α = 90.00°, β = 90.00°, γ = 90.00°
With the nearest neighbours (Å) after each atom.
Space group Immm (No. 71)
Symmetry-distinct sites (fractional):
Cs (0.0000, 0.0000, 0.0000)  2 O 3.11
Cs (0.0000, 0.2129, 0.5000)  1 O 2.80
Cs (0.0000, 0.5000, 0.2772)  1 O 3.03
Au (0.0000, 0.5000, 0.0000)  6 Cs 3.74-3.77
O (0.0000, 0.5000, 0.5000)  6 Cs 2.80-3.11



The following size of the total moment values (in μB/f.u.) correspond, in order, to the records above: 0.000; 3.000; 5.002; 1.846; 1.058; 0.000; 0.000; 0.000; 0.000.